No. 1
# GGA-PBE BaTe3C, optimized geometry
# Raw formation energy = 0.2049 eV per atom
# E = -19.547 eV/cell
# D(E_F) = 3.58 states/eV/f.u.
# Symmetry = Pm-3m (221)
# ΔE to the lowest computed polymorph = 0 meV/atom
data_BaTe3C
_chemical_formula_sum 'Ba1 Te3 C1'
_cell_length_a 5.109
_cell_length_b 5.109
_cell_length_c 5.109
_cell_angle_alpha 90.00
_cell_angle_beta 90.00
_cell_angle_gamma 90.00
_symmetry_space_group_name_H-M 'P 1'
_symmetry_Int_Tables_number 1
_symmetry_space_group_name_Hall 'P 1'
loop_
_atom_site_label
_atom_site_type_symbol
_atom_site_fract_x
_atom_site_fract_y
_atom_site_fract_z
_atom_site_occupancy
Ba1 Ba 0.000 0.000 0.000 1
Te1 Te 0.000 0.500 0.500 1
Te2 Te 0.500 0.000 0.500 1
Te3 Te 0.500 0.500 0.000 1
C1 C 0.500 0.500 0.500 1

---

No. 2
# GGA-PBE GaTcPO2, optimized geometry
# Raw formation energy = 0.0119 eV per atom
# E = -28.659 eV/cell
# D(E_F) = 2.45 states/eV/f.u.
# Symmetry = P4/mmm (123)
# ΔE to the lowest computed polymorph = 713 meV/atom
data_GaTcPO2
_chemical_formula_sum 'Ga1 Tc1 P1 O2'
_cell_length_a 3.617
_cell_length_b 3.617
_cell_length_c 5.961
_cell_angle_alpha 90.00
_cell_angle_beta 90.00
_cell_angle_gamma 90.00
_symmetry_space_group_name_H-M 'P 1'
_symmetry_Int_Tables_number 1
_symmetry_space_group_name_Hall 'P 1'
loop_
_atom_site_label
_atom_site_type_symbol
_atom_site_fract_x
_atom_site_fract_y
_atom_site_fract_z
_atom_site_occupancy
Ga1 Ga 0.000 0.000 0.000 1
Tc1 Tc 0.500 0.500 0.500 1
P1 P 0.000 0.000 0.500 1
O1 O 0.000 0.500 0.000 1
O2 O 0.500 0.000 0.000 1